Entry from Alexandria via LeMat-Bulk: crystalline Hf2TaPdN at its relaxed geometry (GGA-PBE).

Calculated values
Crystal system = tetragonal
Formation energy from raw total energies = -818 meV per atom
Energy = -49.37 eV for the cell shown

```
data_Hf2TaPdN
_chemical_formula_sum 'Hf2 Ta1 Pd1 N1'
_cell_length_a 4.442
_cell_length_b 4.442
_cell_length_c 4.137
_cell_angle_alpha 90.00
_cell_angle_beta 90.00
_cell_angle_gamma 90.00
_space_group_name_H-M_alt 'P 4/m m m'
_space_group_IT_number 123
_space_group_name_Hall '-P 4 2'
loop_
_atom_site_label
_atom_site_fract_x
_atom_site_fract_y
_atom_site_fract_z
_atom_site_occupancy
Hf1 0.000 0.500 0.000 1
Ta1 0.000 0.000 0.500 1
Pd1 0.500 0.500 0.500 1
N1 0.000 0.000 0.000 1
```